Record 1
Density functional theory data (GGA-PBE) for CaAl2Ag after structural relaxation.

Computed properties:
Its formation energy is -0.1262 eV per atom.

abc: 3.393 3.393 7.245
angles: 90.00 90.00 90.00
Fractional positions:
Ca 0.000 0.000 0.000
Al 0.000 0.000 0.489
Al 0.500 0.500 0.701
Ag 0.500 0.500 0.302


Record 2
Density functional theory data (GGA-PBE) for Ca2Al7Ag after structural relaxation.

Computed properties:
Its formation energy is -0.2287 eV per atom.

abc: 4.287 4.287 11.423
angles: 90.00 90.00 90.00
Fractional positions:
Ca 0.000 0.500 0.247
Ca 0.500 0.000 0.753
Al 0.000 0.000 0.000
Al 0.000 0.000 0.500
Al 0.000 0.500 0.640
Al 0.000 0.500 0.864
Al 0.500 0.000 0.136
Al 0.500 0.000 0.360
Al 0.500 0.500 0.500
Ag 0.500 0.500 0.000


Record 3
Density functional theory data (GGA-PBE) for CaAl2Ag after structural relaxation.

Computed properties:
Its formation energy is -0.1379 eV per atom.

abc: 3.339 3.339 7.420
angles: 90.00 90.00 90.00
Fractional positions:
Ca 0.000 0.000 0.000
Al 0.500 0.500 0.300
Al 0.500 0.500 0.700
Ag 0.000 0.000 0.500


Record 4
Density functional theory data (GGA-PBE) for CaAl2Ag after structural relaxation.

Computed properties:
Its formation energy is -0.0599 eV per atom.

abc: 5.881 5.881 5.881
angles: 148.65 126.35 63.47
Fractional positions:
Ca 0.000 0.000 0.000
Al 0.277 0.777 0.500
Al 0.723 0.223 0.500
Ag 0.500 0.500 0.000


Record 5
Density functional theory data (GGA-PBE) for CaAlAg after structural relaxation.

Computed properties:
Its formation energy is -0.0775 eV per atom.

abc: 4.769 4.769 4.769
angles: 60.00 60.00 60.00
Fractional positions:
Ca 0.000 0.000 0.000
Al 0.500 0.500 0.500
Ag 0.250 0.250 0.250


Record 6
Density functional theory data (GGA-PBE) for Ca3Al2Ag4 after structural relaxation.

Computed properties:
Its formation energy is -0.2888 eV per atom.

abc: 6.010 6.010 8.839
angles: 111.15 111.15 45.94
Fractional positions:
Ca 0.000 0.000 0.000
Ca 0.361 0.361 0.309
Ca 0.639 0.639 0.691
Al 0.339 0.339 0.666
Al 0.661 0.661 0.334
Ag 0.092 0.092 0.415
Ag 0.276 0.276 0.924
Ag 0.724 0.724 0.076
Ag 0.908 0.908 0.585


Record 7
Density functional theory data (GGA-PBE) for Ca4AlAg after structural relaxation.

Computed properties:
Its formation energy is -0.0741 eV per atom. The energy above the most stable polymorph in this dataset is 105 meV/atom.

abc: 5.307 5.307 7.348
angles: 90.06 90.06 90.00
Fractional positions:
Ca 0.000 0.500 0.244
Ca 0.000 0.500 0.756
Ca 0.500 0.000 0.244
Ca 0.500 0.000 0.756
Al 0.000 0.000 0.000
Ag 0.500 0.500 0.500


Record 8
Density functional theory data (GGA-PBE) for Ca3Al2Ag6 after structural relaxation.

Computed properties:
Its formation energy is -0.2633 eV per atom.

abc: 8.613 8.613 8.613
angles: 109.47 109.47 109.47
Fractional positions:
Ca 0.000 0.286 0.286
Ca 0.000 0.714 0.714
Ca 0.286 0.000 0.286
Ca 0.286 0.286 0.000
Ca 0.714 0.000 0.714
Ca 0.714 0.714 0.000
Al 0.000 0.000 0.500
Al 0.000 0.500 0.000
Al 0.500 0.000 0.000
Al 0.500 0.500 0.500
Ag 0.000 0.325 0.675
Ag 0.000 0.675 0.325
Ag 0.325 0.000 0.675
Ag 0.325 0.325 0.651
Ag 0.325 0.651 0.325
Ag 0.325 0.675 0.000
Ag 0.349 0.675 0.675
Ag 0.651 0.325 0.325
Ag 0.675 0.000 0.325
Ag 0.675 0.325 0.000
Ag 0.675 0.349 0.675
Ag 0.675 0.675 0.349


Record 9
Density functional theory data (GGA-PBE) for Ca2Al2Ag after structural relaxation.

Computed properties:
Its formation energy is -0.2681 eV per atom. The energy above the most stable polymorph in this dataset is 0 meV/atom.

abc: 5.923 5.923 11.134
angles: 115.62 115.62 46.37
Fractional positions:
Ca 0.005 0.005 0.327
Ca 0.192 0.192 0.108
Ca 0.808 0.808 0.892
Ca 0.995 0.995 0.673
Al 0.358 0.358 0.442
Al 0.491 0.491 0.114
Al 0.509 0.509 0.886
Al 0.642 0.642 0.558
Ag 0.275 0.275 0.647
Ag 0.725 0.725 0.353


Record 10
Density functional theory data (GGA-PBE) for Ca5Al2Ag after structural relaxation.

Computed properties:
Its formation energy is -0.2002 eV per atom.

abc: 9.394 9.394 9.394
angles: 128.75 128.75 75.42
Fractional positions:
Ca 0.000 0.000 0.000
Ca 0.026 0.526 0.841
Ca 0.185 0.026 0.500
Ca 0.315 0.815 0.841
Ca 0.474 0.315 0.500
Ca 0.500 0.500 0.000
Ca 0.526 0.685 0.500
Ca 0.685 0.185 0.159
Ca 0.815 0.974 0.500
Ca 0.974 0.474 0.159
Al 0.116 0.384 0.500
Al 0.384 0.884 0.267
Al 0.616 0.116 0.733
Al 0.884 0.616 0.500
Ag 0.250 0.250 0.000
Ag 0.750 0.750 0.000


Record 11
Density functional theory data (GGA-PBE) for CaAl6Ag4 after structural relaxation.

Computed properties:
Its formation energy is -0.1421 eV per atom. The energy above the most stable polymorph in this dataset is 0 meV/atom.

abc: 7.599 7.599 4.147
angles: 90.00 90.00 120.00
Fractional positions:
Ca 0.000 0.000 0.000
Al 0.203 0.407 0.500
Al 0.203 0.797 0.500
Al 0.534 0.067 0.000
Al 0.534 0.466 0.000
Al 0.593 0.797 0.500
Al 0.933 0.466 0.000
Ag 0.333 0.667 0.000
Ag 0.397 0.199 0.500
Ag 0.801 0.199 0.500
Ag 0.801 0.603 0.500


Record 12
Density functional theory data (GGA-PBE) for Ca2Al7Ag12 after structural relaxation.

Computed properties:
Its formation energy is -0.1005 eV per atom.

abc: 10.651 10.651 4.149
angles: 90.00 90.00 120.00
Fractional positions:
Ca 0.333 0.667 0.246
Ca 0.667 0.333 0.754
Al 0.000 0.000 0.500
Al 0.117 0.706 0.744
Al 0.294 0.410 0.744
Al 0.410 0.117 0.256
Al 0.590 0.883 0.744
Al 0.706 0.590 0.256
Al 0.883 0.294 0.256
Ag 0.060 0.437 0.751
Ag 0.120 0.262 0.239
Ag 0.141 0.880 0.239
Ag 0.262 0.141 0.761
Ag 0.377 0.940 0.751
Ag 0.437 0.377 0.249
Ag 0.563 0.623 0.751
Ag 0.623 0.060 0.249
Ag 0.738 0.859 0.239
Ag 0.859 0.120 0.761
Ag 0.880 0.738 0.761
Ag 0.940 0.563 0.249


Record 13
Density functional theory data (GGA-PBE) for CaAlAg11 after structural relaxation.

Computed properties:
Its formation energy is -0.0835 eV per atom.

abc: 7.285 7.285 7.260
angles: 97.45 97.45 136.13
Fractional positions:
Ca 0.000 0.000 0.000
Al 0.500 0.500 0.500
Ag 0.000 0.000 0.500
Ag 0.000 0.500 0.000
Ag 0.004 0.655 0.646
Ag 0.298 0.511 0.779
Ag 0.345 0.996 0.354
Ag 0.489 0.702 0.221
Ag 0.500 0.000 0.000
Ag 0.511 0.298 0.779
Ag 0.655 0.004 0.646
Ag 0.702 0.489 0.221
Ag 0.996 0.345 0.354